! RbZr3Tl PBEsol optimized geometry; values from VASP
! Space group: No. 221
! ΔH_f (0 K) (eV per atom): 1.830
&SYSTEM
  ibrav = 0, nat = 5, ntyp = 3
/
ATOMIC_SPECIES
Tl 204.38 Tl.upf
Rb 85.47 Rb.upf
Zr 91.22 Zr.upf
CELL_PARAMETERS angstrom
4.971 0.000 0.000
0.000 4.971 0.000
0.000 0.000 4.971
ATOMIC_POSITIONS crystal
Tl 0.500 0.500 0.500
Rb 0.000 0.000 0.000
Zr 0.000 0.500 0.000
Zr 0.000 0.000 0.500
Zr 0.500 0.000 0.000

! Rb3W PBEsol optimized geometry; values from VASP
! Space group: No. 225
! ΔH_f (0 K) (eV per atom): 1.661
&SYSTEM
  ibrav = 0, nat = 4, ntyp = 2
/
ATOMIC_SPECIES
Rb 85.47 Rb.upf
W 183.84 W.upf
CELL_PARAMETERS angstrom
6.493 0.000 0.000
3.246 5.623 0.000
3.246 1.874 5.301
ATOMIC_POSITIONS crystal
Rb 0.250 0.250 0.250
Rb 0.750 0.750 0.750
Rb 0.500 0.500 0.500
W 0.000 0.000 0.000

! Rb3Y PBEsol optimized geometry; values from VASP
! Space group: No. 139
! ΔH_f (0 K) (eV per atom): 0.630
&SYSTEM
  ibrav = 0, nat = 4, ntyp = 2
/
ATOMIC_SPECIES
Rb 85.47 Rb.upf
Y 88.91 Y.upf
CELL_PARAMETERS angstrom
-4.167 -0.094 4.467
-3.179 -4.229 -3.054
6.979 -2.481 2.281
ATOMIC_POSITIONS crystal
Rb 0.250 0.750 0.500
Rb 0.750 0.250 0.500
Rb 0.500 0.500 0.000
Y 0.000 0.000 0.000

! Rb3ZrZn PBEsol optimized geometry; values from VASP
! Space group: No. 221
! ΔH_f (0 K) (eV per atom): 1.233
&SYSTEM
  ibrav = 0, nat = 5, ntyp = 3
/
ATOMIC_SPECIES
Zn 65.41 Zn.upf
Rb 85.47 Rb.upf
Zr 91.22 Zr.upf
CELL_PARAMETERS angstrom
-0.009 -0.889 -6.857
2.024 -6.557 0.848
-6.611 -2.007 0.268
ATOMIC_POSITIONS crystal
Zn 0.500 0.500 0.500
Rb 0.000 0.500 0.000
Rb 0.000 0.000 0.500
Rb 0.500 0.000 0.000
Zr 0.000 0.000 0.000

! RbZr3Zn PBEsol optimized geometry; values from VASP
! Space group: No. 221
! ΔH_f (0 K) (eV per atom): 2.001
&SYSTEM
  ibrav = 0, nat = 5, ntyp = 3
/
ATOMIC_SPECIES
Zn 65.41 Zn.upf
Rb 85.47 Rb.upf
Zr 91.22 Zr.upf
CELL_PARAMETERS angstrom
4.920 0.000 0.000
0.000 4.920 0.000
0.000 0.000 4.920
ATOMIC_POSITIONS crystal
Zn 0.500 0.500 0.500
Rb 0.000 0.000 0.000
Zr 0.000 0.500 0.000
Zr 0.000 0.000 0.500
Zr 0.500 0.000 0.000

! Re PBEsol optimized geometry; values from VASP
! Energy relative to the lowest polymorph listed for this composition (meV per atom): 11
! Space group: No. 166
! ΔH_f (0 K) (eV per atom): 0.011
&SYSTEM
  ibrav = 0, nat = 3, ntyp = 1
/
ATOMIC_SPECIES
Re 186.21 Re.upf
CELL_PARAMETERS angstrom
2.751 0.000 0.000
1.376 2.383 0.000
1.376 0.794 6.665
ATOMIC_POSITIONS crystal
Re 0.000 0.000 0.000
Re 0.778 0.778 0.666
Re 0.222 0.222 0.334

! Re PBEsol optimized geometry; values from VASP
! Energy relative to the lowest polymorph listed for this composition (meV per atom): 329
! Space group: No. 229
! ΔH_f (0 K) (eV per atom): 0.329
&SYSTEM
  ibrav = 0, nat = 1, ntyp = 1
/
ATOMIC_SPECIES
Re 186.21 Re.upf
CELL_PARAMETERS angstrom
-1.012 -2.279 -0.965
2.461 -0.448 0.944
-1.561 0.903 1.974
ATOMIC_POSITIONS crystal
Re 0.000 0.000 0.000

! Re PBEsol optimized geometry; values from VASP
! Energy relative to the lowest polymorph listed for this composition (meV per atom): 0
! Space group: No. 194
! ΔH_f (0 K) (eV per atom): 0.000
&SYSTEM
  ibrav = 0, nat = 2, ntyp = 1
/
ATOMIC_SPECIES
Re 186.21 Re.upf
CELL_PARAMETERS angstrom
2.751 0.000 0.000
-1.375 2.382 0.000
0.000 0.000 4.445
ATOMIC_POSITIONS crystal
Re 0.333 0.667 0.250
Re 0.667 0.333 0.750

! Re PBEsol optimized geometry; values from VASP
! Energy relative to the lowest polymorph listed for this composition (meV per atom): 65
! Space group: No. 225
! ΔH_f (0 K) (eV per atom): 0.065
&SYSTEM
  ibrav = 0, nat = 1, ntyp = 1
/
ATOMIC_SPECIES
Re 186.21 Re.upf
CELL_PARAMETERS angstrom
-1.023 -0.484 2.500
-1.095 -2.447 0.584
1.299 -1.712 1.706
ATOMIC_POSITIONS crystal
Re 0.000 0.000 0.000

! ReRh2 PBEsol optimized geometry; values from VASP
! Energy relative to the lowest polymorph listed for this composition (meV per atom): 87
! Space group: No. 12
! ΔH_f (0 K) (eV per atom): -0.106
&SYSTEM
  ibrav = 0, nat = 6, ntyp = 2
/
ATOMIC_SPECIES
Re 186.21 Re.upf
Rh 102.91 Rh.upf
CELL_PARAMETERS angstrom
-1.436 2.254 0.264
-2.847 -1.412 -3.417
-1.751 -3.417 6.000
ATOMIC_POSITIONS crystal
Re 0.915 0.580 0.830
Re 0.085 0.420 0.170
Rh 0.253 0.254 0.505
Rh 0.422 0.096 0.844
Rh 0.578 0.904 0.156
Rh 0.747 0.746 0.495

! ReRh3 PBEsol optimized geometry; values from VASP
! Energy relative to the lowest polymorph listed for this composition (meV per atom): 33
! Space group: No. 44
! ΔH_f (0 K) (eV per atom): -0.071
&SYSTEM
  ibrav = 0, nat = 4, ntyp = 2
/
ATOMIC_SPECIES
Re 186.21 Re.upf
Rh 102.91 Rh.upf
CELL_PARAMETERS angstrom
2.701 0.000 0.000
0.000 4.683 0.000
-1.351 -2.341 4.330
ATOMIC_POSITIONS crystal
Re 0.000 0.000 0.000
Rh 0.747 0.411 0.493
Rh 0.500 0.505 0.000
Rh 0.253 0.918 0.507

! ReRh2 PBEsol optimized geometry; values from VASP
! Energy relative to the lowest polymorph listed for this composition (meV per atom): 103
! Space group: No. 65
! ΔH_f (0 K) (eV per atom): -0.090
&SYSTEM
  ibrav = 0, nat = 6, ntyp = 2
/
ATOMIC_SPECIES
Re 186.21 Re.upf
Rh 102.91 Rh.upf
CELL_PARAMETERS angstrom
-0.245 3.219 -2.017
-3.473 -1.074 -1.292
-2.305 0.958 5.401
ATOMIC_POSITIONS crystal
Re 0.828 0.000 0.656
Re 0.172 0.000 0.344
Rh 0.000 0.500 0.000
Rh 0.332 0.500 0.664
Rh 0.500 0.000 0.000
Rh 0.668 0.500 0.336

Please write out number 3 again, unchanged.
! Rb3Y PBEsol optimized geometry; values from VASP
! Space group: No. 139
! ΔH_f (0 K) (eV per atom): 0.630
&SYSTEM
  ibrav = 0, nat = 4, ntyp = 2
/
ATOMIC_SPECIES
Rb 85.47 Rb.upf
Y 88.91 Y.upf
CELL_PARAMETERS angstrom
-4.167 -0.094 4.467
-3.179 -4.229 -3.054
6.979 -2.481 2.281
ATOMIC_POSITIONS crystal
Rb 0.250 0.750 0.500
Rb 0.750 0.250 0.500
Rb 0.500 0.500 0.000
Y 0.000 0.000 0.000